A) Compound: Hf2Be2Al
Source: the Alexandria database
Functional: PBE-GGA
Structure: relaxed

Cell: 3.5593 5.1883 5.1883 Å, 60.40 69.94 69.94°
Fractional positions:
Hf  0.7891  0.7109  0.7109
Hf  0.2109  0.2891  0.2891
Be  0.5000  0.2999  0.7001
Be  0.5000  0.7001  0.2999
Al  0.0000  0.0000  0.0000

Calculated values
- M_tot (μB/f.u.) = 0.0

B) Compound: Hf2Be2Al
Source: the Alexandria database
Functional: PBE-GGA
Structure: relaxed

Cell: 6.2895 6.2895 3.8717 Å, 90.00 90.00 90.00°
Fractional positions:
Be  0.3781  0.8781  0.0000
Be  0.8781  0.6219  0.0000
Be  0.6219  0.1219  0.0000
Be  0.1219  0.3781  0.0000
Hf  0.1702  0.6702  0.5000
Hf  0.6702  0.8298  0.5000
Hf  0.8298  0.3298  0.5000
Hf  0.3298  0.1702  0.5000
Al  0.0000  0.0000  0.0000
Al  0.5000  0.5000  0.0000

Calculated values
- M_tot (μB/f.u.) = 0.0

Name the least stable of them. A).

A) Compound: KHf2BeAl
Source: the Alexandria database
Functional: PBE-GGA
Structure: relaxed

Cell: 5.2256 4.5084 5.2256 Å, 90.00 90.00 90.00°
Fractional positions:
Be  0.0000  0.5000  0.0000
K  0.5000  0.5000  0.5000
Hf  0.0000  0.0000  0.5000
Hf  0.5000  0.0000  0.0000
Al  0.0000  0.0000  0.0000

Calculated values
- M_tot (μB/f.u.) = 0.0

B) Compound: KHf2BeAl
Source: the Alexandria database
Functional: PBE-GGA
Structure: relaxed

Cell: 4.9166 4.3831 4.9166 Å, 90.00 90.00 90.00°
Fractional positions:
Be  0.0000  0.5000  0.0000
K  0.0000  0.0000  0.0000
Hf  0.0000  0.0000  0.5000
Hf  0.5000  0.0000  0.0000
Al  0.5000  0.5000  0.5000

Calculated values
- M_tot (μB/f.u.) = 0.0

Name the least stable of them. B).

A) Compound: BeAlHg3
Source: the Alexandria database
Functional: PBE-GGA
Structure: relaxed

Cell: 4.8338 4.8338 4.8338 Å, 90.00 90.00 90.00°
Fractional positions:
Be  0.0000  0.0000  0.0000
Hg  0.0000  0.5000  0.0000
Hg  0.0000  0.0000  0.5000
Hg  0.5000  0.0000  0.0000
Al  0.5000  0.5000  0.5000

Calculated values
- M_tot (μB/f.u.) = 0.0

B) Compound: BeAlHg3
Source: the Alexandria database
Functional: PBE-GGA
Structure: relaxed

Cell: 5.2874 5.2874 5.2874 Å, 90.00 90.00 90.00°
Fractional positions:
Be  0.5000  0.5000  0.5000
Hg  0.0000  0.5000  0.0000
Hg  0.0000  0.0000  0.5000
Hg  0.5000  0.0000  0.0000
Al  0.0000  0.0000  0.0000

Calculated values
- M_tot (μB/f.u.) = 0.0

Name the least stable of them. B).

A) Compound: BeAl3I
Source: the Alexandria database
Functional: PBE-GGA
Structure: relaxed

Cell: 5.8317 5.8317 5.8317 Å, 90.00 90.00 90.00°
Fractional positions:
I  0.0000  0.0000  0.0000
Be  0.5000  0.5000  0.5000
Al  0.0000  0.5000  0.0000
Al  0.0000  0.0000  0.5000
Al  0.5000  0.0000  0.0000

Calculated values
- M_tot (μB/f.u.) = 0.0

B) Compound: BeAl3I
Source: the Alexandria database
Functional: PBE-GGA
Structure: relaxed

Cell: 4.7262 4.7262 4.7262 Å, 90.00 90.00 90.00°
Fractional positions:
I  0.5000  0.5000  0.5000
Be  0.0000  0.0000  0.0000
Al  0.0000  0.5000  0.0000
Al  0.0000  0.0000  0.5000
Al  0.5000  0.0000  0.0000

Calculated values
- M_tot (μB/f.u.) = 0.0

Name the least stable of them. A).

A) Compound: BeAlI2N
Source: the Alexandria database
Functional: PBE-GGA
Structure: relaxed

Cell: 5.6361 5.6361 3.5794 Å, 90.00 90.00 90.00°
Fractional positions:
I  0.0000  0.5000  0.0000
I  0.5000  0.0000  0.0000
Be  0.5000  0.5000  0.5000
Al  0.0000  0.0000  0.0000
N  0.0000  0.0000  0.5000

Calculated values
- M_tot (μB/f.u.) = 0.0

B) Compound: BeAlI2N
Source: the Alexandria database
Functional: PBE-GGA
Structure: relaxed

Cell: 6.5969 6.5969 3.0495 Å, 90.00 90.00 90.00°
Last column: magnetic moment on the atom in μB.
Fractional positions:
I  0.0000  0.5000  0.0000  0.04
I  0.5000  0.0000  0.0000  0.04
Be  0.0000  0.0000  0.0000  -0.03
Al  0.5000  0.5000  0.5000  0.00
N  0.0000  0.0000  0.5000  0.59

Calculated values
- M_tot (μB/f.u.) = 1.0

Name the least stable of them. A).

A) Compound: BeAlI2O
Source: the Alexandria database
Functional: PBE-GGA
Structure: relaxed

Cell: 5.6326 5.6326 3.5104 Å, 90.00 90.00 90.00°
Fractional positions:
I  0.0000  0.5000  0.0000
I  0.5000  0.0000  0.0000
Be  0.5000  0.5000  0.5000
Al  0.0000  0.0000  0.0000
O  0.0000  0.0000  0.5000

Calculated values
- M_tot (μB/f.u.) = 0.0

B) Compound: BeAlI2O
Source: the Alexandria database
Functional: PBE-GGA
Structure: relaxed

Cell: 6.5756 6.5756 2.9617 Å, 90.00 90.00 90.00°
Fractional positions:
I  0.0000  0.5000  0.0000
I  0.5000  0.0000  0.0000
Be  0.0000  0.0000  0.0000
Al  0.5000  0.5000  0.5000
O  0.0000  0.0000  0.5000

Calculated values
- M_tot (μB/f.u.) = 0.0

Name the least stable of them. A).

A) Compound: BeAlSb2I
Source: the Alexandria database
Functional: PBE-GGA
Structure: relaxed

Cell: 5.3374 5.3374 5.4749 Å, 90.00 90.00 90.00°
Fractional positions:
I  0.0000  0.0000  0.5000
Sb  0.0000  0.5000  0.0000
Sb  0.5000  0.0000  0.0000
Al  0.0000  0.0000  0.0000
Be  0.5000  0.5000  0.5000

Calculated values
- M_tot (μB/f.u.) = 0.3

B) Compound: BeAlSb2I
Source: the Alexandria database
Functional: PBE-GGA
Structure: relaxed

Cell: 4.8674 4.8674 5.6967 Å, 90.00 90.00 90.00°
Fractional positions:
I  0.0000  0.0000  0.5000
Sb  0.0000  0.5000  0.0000
Sb  0.5000  0.0000  0.0000
Al  0.5000  0.5000  0.5000
Be  0.0000  0.0000  0.0000

Calculated values
- M_tot (μB/f.u.) = 0.0

Name the least stable of them. A).

A) Compound: BeAlTeI2
Source: the Alexandria database
Functional: PBE-GGA
Structure: relaxed

Cell: 5.3401 5.3401 5.0669 Å, 90.00 90.00 90.00°
Fractional positions:
I  0.0000  0.5000  0.0000
I  0.5000  0.0000  0.0000
Be  0.0000  0.0000  0.0000
Te  0.0000  0.0000  0.5000
Al  0.5000  0.5000  0.5000

Calculated values
- M_tot (μB/f.u.) = 0.0

B) Compound: BeAlTeI2
Source: the Alexandria database
Functional: PBE-GGA
Structure: relaxed

Cell: 5.4831 5.4831 5.4951 Å, 90.00 90.00 90.00°
Fractional positions:
I  0.0000  0.5000  0.0000
I  0.5000  0.0000  0.0000
Be  0.5000  0.5000  0.5000
Te  0.0000  0.0000  0.5000
Al  0.0000  0.0000  0.0000

Calculated values
- M_tot (μB/f.u.) = 0.0

Name the least stable of them. B).

A) Compound: BeAlTe2I
Source: the Alexandria database
Functional: PBE-GGA
Structure: relaxed

Cell: 5.3903 5.3903 5.4199 Å, 90.00 90.00 90.00°
Fractional positions:
I  0.0000  0.0000  0.5000
Be  0.5000  0.5000  0.5000
Te  0.0000  0.5000  0.0000
Te  0.5000  0.0000  0.0000
Al  0.0000  0.0000  0.0000

Calculated values
- M_tot (μB/f.u.) = 0.0

B) Compound: BeAlTe2I
Source: the Alexandria database
Functional: PBE-GGA
Structure: relaxed

Cell: 5.0287 5.0287 5.4378 Å, 90.00 90.00 90.00°
Fractional positions:
I  0.0000  0.0000  0.5000
Be  0.0000  0.0000  0.0000
Te  0.0000  0.5000  0.0000
Te  0.5000  0.0000  0.0000
Al  0.5000  0.5000  0.5000

Calculated values
- M_tot (μB/f.u.) = 0.0

Name the least stable of them. A).

A) Compound: Be2AlIn
Source: the Alexandria database
Functional: PBE-GGA
Structure: relaxed

Cell: 7.0088 7.0088 5.6632 Å, 51.77 51.77 90.00°
Fractional positions:
Be  0.6055  0.1250  0.2500
Be  0.1445  0.6250  0.2500
Be  0.3750  0.3945  0.7500
Be  0.8750  0.8555  0.7500
Al  0.5000  0.5000  0.0000
Al  0.2500  0.7500  0.5000
In  0.0000  0.0000  0.0000
In  0.7500  0.2500  0.5000

Calculated values
- M_tot (μB/f.u.) = 0.0

B) Compound: Be2AlIn
Source: the Alexandria database
Functional: PBE-GGA
Structure: relaxed

Cell: 3.1459 4.9329 5.0770 Å, 50.95 90.00 90.00°
Fractional positions:
Be  0.0000  0.0000  0.0000
Be  0.5000  0.5000  0.0000
Al  0.0000  0.0000  0.5000
In  0.5000  0.5000  0.5000

Calculated values
- M_tot (μB/f.u.) = 0.0

Name the least stable of them. A).

A) Compound: Be2AlIn
Source: the Alexandria database
Functional: PBE-GGA
Structure: relaxed

Cell: 3.7504 3.6487 4.7218 Å, 66.34 90.00 90.00°
Fractional positions:
Be  0.0000  0.1931  0.9898
Be  0.5000  0.0623  0.2498
Al  0.5000  0.7714  0.8431
In  0.0000  0.4732  0.4172

Calculated values
- M_tot (μB/f.u.) = 0.0

B) Compound: Be2AlIn
Source: the Alexandria database
Functional: PBE-GGA
Structure: relaxed

Cell: 8.0948 8.0948 8.0948 Å, 21.28 21.28 21.28°
Fractional positions:
Be  0.0045  0.0045  0.0045
Be  0.4955  0.4955  0.4955
Al  0.7500  0.7500  0.7500
In  0.2500  0.2500  0.2500

Calculated values
- M_tot (μB/f.u.) = 0.0

Name the least stable of them. B).

A) Compound: Be2AlIn
Source: the Alexandria database
Functional: PBE-GGA
Structure: relaxed

Cell: 4.4377 4.4377 4.4377 Å, 60.00 60.00 60.00°
Fractional positions:
Be  0.0000  0.0000  0.0000
Be  0.2500  0.2500  0.2500
Al  0.5000  0.5000  0.5000
In  0.7500  0.7500  0.7500

Calculated values
- M_tot (μB/f.u.) = 0.0

B) Compound: Be2AlIn
Source: the Alexandria database
Functional: PBE-GGA
Structure: relaxed

Cell: 2.7756 2.9074 7.4720 Å, 90.00 90.00 90.00°
Fractional positions:
Be  0.0000  0.0000  0.0352
Be  0.5000  0.5000  0.1847
Al  0.5000  0.5000  0.8160
In  0.0000  0.0000  0.4641

Calculated values
- M_tot (μB/f.u.) = 0.0

C) Compound: Be2AlIn
Source: the Alexandria database
Functional: PBE-GGA
Structure: relaxed

Cell: 4.3912 4.3912 4.3912 Å, 60.00 60.00 60.00°
Fractional positions:
Be  0.2500  0.2500  0.2500
Be  0.7500  0.7500  0.7500
Al  0.0000  0.0000  0.0000
In  0.5000  0.5000  0.5000

Calculated values
- M_tot (μB/f.u.) = 0.0

Name the least stable of them. A).